Entry 1:
This record from Alexandria describes a relaxed structure of Sm2CS. The functional is PBE.

abc: 3.7810 3.7810 20.1822
angles: 90.00 90.00 120.00
Closest atoms and distances in Å follow each position.
Element x y z (fractional)
Sm 0.0000 0.0000 0.0000  3 C 2.61
Sm 0.0000 0.0000 0.1934  3 C 2.59
Sm 0.3333 0.6667 0.6667  3 C 2.61
Sm 0.3333 0.6667 0.8601  3 C 2.59
Sm 0.6667 0.3333 0.3333  3 C 2.61
Sm 0.6667 0.3333 0.5267  3 C 2.59
C 0.0000 0.0000 0.5960  6 Sm 2.59-2.61
C 0.3333 0.6667 0.2627  6 Sm 2.59-2.61
C 0.6667 0.3333 0.9294  6 Sm 2.59-2.61
S 0.0000 0.0000 0.7646  6 Sm 2.91-2.95
S 0.3333 0.6667 0.4313  6 Sm 2.91-2.95
S 0.6667 0.3333 0.0980  6 Sm 2.91-2.95

DOS(E_F): 0.2 states/eV/cell
Formation energy from raw total energies: -1.095 eV/atom



Entry 2:
This record from Alexandria describes a relaxed structure of Sm5CS4. The functional is PBE.

abc: 14.3233 14.3233 14.3233
angles: 164.09 164.09 22.58
Closest atoms and distances in Å follow each position.
Element x y z (fractional)
Sm 0.0000 0.0000 0.0000  4 C 2.80, 2 S 2.80
Sm 0.2015 0.2015 0.0000  6 S 2.81-2.86
Sm 0.4119 0.4119 0.0000  1 C 2.48
Sm 0.5881 0.5881 0.0000  1 C 2.48
Sm 0.7985 0.7985 0.0000  6 S 2.81-2.86
C 0.5000 0.5000 0.0000  2 Sm 2.48
S 0.0998 0.0998 0.0000  6 Sm 2.80-2.86
S 0.3034 0.3034 0.0000  6 Sm 2.81-3.05
S 0.6966 0.6966 0.0000  6 Sm 2.81-3.05
S 0.9002 0.9002 0.0000  6 Sm 2.80-2.86

DOS(E_F): 3.9 states/eV/cell
Formation energy from raw total energies: -1.661 eV/atom



Entry 3:
This record from Alexandria describes a relaxed structure of Sm3CS. The functional is PBE.

abc: 3.7985 7.1358 9.1660
angles: 90.00 101.87 90.00
Closest atoms and distances in Å follow each position.
Element x y z (fractional)
Sm 0.0137 0.2500 0.0202  1 C 2.29
Sm 0.3475 0.0293 0.6957  2 C 2.54-2.55
Sm 0.3475 0.4707 0.6957  2 C 2.54-2.55
Sm 0.6525 0.5293 0.3043  2 C 2.54-2.55
Sm 0.6525 0.9707 0.3043  2 C 2.54-2.55
Sm 0.9863 0.7500 0.9798  1 C 2.29
C 0.1184 0.7500 0.2347  5 Sm 2.29-2.55
C 0.8816 0.2500 0.7653  5 Sm 2.29-2.55
S 0.2055 0.2500 0.4122  6 Sm 2.92-2.99
S 0.7945 0.7500 0.5878  6 Sm 2.92-2.99

DOS(E_F): 4.7 states/eV/cell
Formation energy from raw total energies: -0.700 eV/atom



Entry 4:
This record from Alexandria describes a relaxed structure of Sm6C2S3. The functional is PBE.

abc: 20.0719 20.0719 20.0719
angles: 10.94 10.94 10.94
Closest atoms and distances in Å follow each position.
Element x y z (fractional)
Sm 0.0882 0.0882 0.0882  3 C 2.67, 3 S 2.86
Sm 0.1995 0.1995 0.1995  3 C 2.53
Sm 0.3627 0.3627 0.3627  6 S 2.79-2.82
Sm 0.6373 0.6373 0.6373  6 S 2.79-2.82
Sm 0.8005 0.8005 0.8005  3 C 2.53
Sm 0.9118 0.9118 0.9118  3 C 2.67, 3 S 2.86
C 0.4466 0.4466 0.4466  6 Sm 2.53-2.67
C 0.5534 0.5534 0.5534  6 Sm 2.53-2.67
S 0.0000 0.0000 0.0000  6 Sm 2.82
S 0.2754 0.2754 0.2754  6 Sm 2.79-2.86
S 0.7246 0.7246 0.7246  6 Sm 2.79-2.86

DOS(E_F): 5.4 states/eV/cell
Formation energy from raw total energies: -1.193 eV/atom



Question: What is the formula in the fourth record?
Answer: Sm6C2S3